1.
Computed, not measured: a geometry-optimized HoTmNO structure at the PBE level of DFT.

Cell and atoms, written as POSCAR:
```
HoTmNO
1.0
-3.606 -0.230 -1.550
0.441 -6.763 -0.021
-1.887 -0.137 4.410
Tm O Ho N
2 2 2 2
direct
0.500 0.167 0.439
0.500 0.833 0.939
0.500 0.167 0.938
0.500 0.833 0.438
0.000 0.333 0.938
0.000 0.667 0.438
0.000 0.668 0.939
0.000 0.332 0.439
```

Summary:
- E above lowest polymorph (eV/f.u.) = 0.43
- DFT total energy (eV per atom) = -7.8394
- size of the total moment (μB per formula unit) = 0.02
- space group = Pmma

2.
Computed, not measured: a geometry-optimized HoTmNO structure at the PBE level of DFT.

Cell and atoms, written as POSCAR:
```
HoTmNO
1.0
-4.531 -2.385 -4.060
5.241 -5.350 -2.707
-1.421 -3.123 3.421
Ho O N Tm
4 4 4 4
direct
0.068 0.377 0.051
0.432 0.377 0.551
0.932 0.623 0.551
0.568 0.623 0.051
0.593 0.636 0.551
0.907 0.636 0.051
0.407 0.364 0.051
0.093 0.364 0.551
0.928 0.123 0.051
0.428 0.877 0.051
0.572 0.123 0.551
0.072 0.877 0.551
0.916 0.126 0.550
0.584 0.126 0.050
0.084 0.874 0.050
0.416 0.874 0.550
```

Summary:
- E above lowest polymorph (eV/f.u.) = 0.44
- DFT total energy (eV per atom) = -7.8359
- size of the total moment (μB per formula unit) = 0.00
- space group = Pbcm

3.
Computed, not measured: a geometry-optimized HoTmNO structure at the PBE level of DFT.

Cell and atoms, written as POSCAR:
```
HoTmNO
1.0
4.774 0.000 0.000
0.000 4.774 0.000
0.000 0.000 4.751
N Ho O Tm
2 2 2 2
direct
0.750 0.750 0.500
0.250 0.250 0.500
0.250 0.750 0.500
0.750 0.250 0.500
0.250 0.750 0.000
0.750 0.250 0.000
0.750 0.750 0.000
0.250 0.250 0.000
```

Summary:
- E above lowest polymorph (eV/f.u.) = 0.00
- DFT total energy (eV per atom) = -7.9470
- size of the total moment (μB per formula unit) = 0.00
- space group = P4/mmm

4.
Computed, not measured: a geometry-optimized YHoNO structure at the PBE level of DFT.

Cell and atoms, written as POSCAR:
```
YHoNO
1.0
-0.547 -0.228 -3.904
4.411 1.876 -0.727
2.693 -6.336 -0.007
O Y Ho N
2 2 2 2
direct
0.500 0.938 0.832
0.500 0.438 0.168
0.000 0.439 0.335
0.000 0.939 0.665
0.500 0.439 0.834
0.500 0.939 0.166
0.000 0.939 0.333
0.000 0.439 0.667
```

Summary:
- E above lowest polymorph (eV/f.u.) = 0.43
- DFT total energy (eV per atom) = -8.3008
- size of the total moment (μB per formula unit) = 0.01
- space group = Pmma

5.
Computed, not measured: a geometry-optimized YHoNO structure at the PBE level of DFT.

Cell and atoms, written as POSCAR:
```
YHoNO
1.0
-1.410 -1.064 -4.483
2.426 -4.157 0.223
-3.913 -2.190 1.750
O Y Ho N
2 2 2 2
direct
0.250 0.750 0.000
0.750 0.250 0.000
0.750 0.250 0.500
0.250 0.750 0.500
0.250 0.250 0.001
0.750 0.750 0.999
0.250 0.250 0.501
0.750 0.750 0.499
```

Summary:
- E above lowest polymorph (eV/f.u.) = 0.00
- DFT total energy (eV per atom) = -8.4083
- size of the total moment (μB per formula unit) = 0.00
- space group = P4/nmm

6.
Computed, not measured: a geometry-optimized YHoNO structure at the PBE level of DFT.

Cell and atoms, written as POSCAR:
```
YHoNO
1.0
-4.817 -0.578 0.481
0.588 -6.416 -1.831
1.027 -2.115 7.739
N O Y Ho
4 4 4 4
direct
0.050 0.428 0.123
0.050 0.928 0.877
0.550 0.572 0.877
0.550 0.072 0.123
0.051 0.907 0.364
0.551 0.093 0.636
0.051 0.407 0.636
0.551 0.593 0.364
0.051 0.070 0.623
0.551 0.430 0.623
0.051 0.570 0.377
0.551 0.930 0.377
0.550 0.915 0.874
0.050 0.085 0.126
0.550 0.415 0.126
0.050 0.585 0.874
```

Summary:
- E above lowest polymorph (eV/f.u.) = 0.44
- DFT total energy (eV per atom) = -8.2971
- size of the total moment (μB per formula unit) = 0.02
- space group = Pbcm

7.
Computed, not measured: a geometry-optimized YHoNO structure at the PBE level of DFT.

Cell and atoms, written as POSCAR:
```
YHoNO
1.0
3.120 -3.120 0.000
3.120 3.120 0.000
0.000 0.000 7.672
O N Ho Y
2 2 2 2
direct
0.750 0.250 0.000
0.250 0.750 0.000
0.750 0.750 0.416
0.250 0.250 0.584
0.750 0.750 0.912
0.250 0.250 0.088
0.750 0.250 0.500
0.250 0.750 0.500
```

Summary:
- E above lowest polymorph (eV/f.u.) = 2.17
- DFT total energy (eV per atom) = -7.8649
- size of the total moment (μB per formula unit) = 0.00
- space group = P4/nmm

8.
Computed, not measured: a geometry-optimized YHoNO structure at the PBE level of DFT.

Cell and atoms, written as POSCAR:
```
YHoNO
1.0
3.957 0.000 0.000
0.000 4.854 0.000
0.000 0.000 6.851
Y Ho O N
2 2 2 2
direct
0.500 0.939 0.165
0.500 0.439 0.835
0.000 0.439 0.332
0.000 0.939 0.668
0.500 0.438 0.178
0.500 0.938 0.822
0.000 0.438 0.661
0.000 0.938 0.339
```

Summary:
- E above lowest polymorph (eV/f.u.) = 0.39
- DFT total energy (eV per atom) = -8.3100
- size of the total moment (μB per formula unit) = 0.01
- space group = Pmma

9.
Computed, not measured: a geometry-optimized YHoNO structure at the PBE level of DFT.

Cell and atoms, written as POSCAR:
```
YHoNO
1.0
-5.879 -2.795 1.047
0.638 -3.955 -6.977
2.189 -3.736 2.318
Ho O N Y
4 4 4 4
direct
0.930 0.122 0.551
0.070 0.878 0.051
0.430 0.878 0.551
0.570 0.122 0.051
0.905 0.130 0.051
0.405 0.870 0.051
0.095 0.870 0.551
0.595 0.130 0.551
0.932 0.627 0.050
0.568 0.627 0.550
0.068 0.373 0.550
0.432 0.373 0.050
0.917 0.627 0.551
0.083 0.373 0.051
0.583 0.627 0.051
0.417 0.373 0.551
```

Summary:
- E above lowest polymorph (eV/f.u.) = 0.51
- DFT total energy (eV per atom) = -8.2803
- size of the total moment (μB per formula unit) = 0.00
- space group = Pbcm

10.
Computed, not measured: a geometry-optimized YHoNO structure at the PBE level of DFT.

Cell and atoms, written as POSCAR:
```
YHoNO
1.0
4.446 0.000 0.000
0.000 4.446 0.000
0.000 0.000 7.569
Y N Ho O
2 2 2 2
direct
0.250 0.250 0.080
0.750 0.750 0.920
0.750 0.750 0.426
0.250 0.250 0.574
0.250 0.750 0.500
0.750 0.250 0.500
0.250 0.750 0.000
0.750 0.250 0.000
```

Summary:
- E above lowest polymorph (eV/f.u.) = 2.10
- DFT total energy (eV per atom) = -7.8838
- size of the total moment (μB per formula unit) = 0.00
- space group = P4/nmm

11.
Computed, not measured: a geometry-optimized HoZnNO structure at the PBE level of DFT.

Cell and atoms, written as POSCAR:
```
HoZnNO
1.0
4.754 0.000 0.000
0.000 4.754 0.000
0.000 0.000 4.397
Ho N O Zn
2 2 2 2
direct
0.750 0.250 0.500
0.250 0.750 0.500
0.750 0.750 0.502
0.250 0.250 0.498
0.250 0.750 0.000
0.750 0.250 0.000
0.250 0.250 0.000
0.750 0.750 0.000
```

Summary:
- E above lowest polymorph (eV/f.u.) = 0.32
- DFT total energy (eV per atom) = -6.3261
- size of the total moment (μB per formula unit) = 0.00
- space group = P4/nmm

12.
Computed, not measured: a geometry-optimized HoZnNO structure at the PBE level of DFT.

Cell and atoms, written as POSCAR:
```
HoZnNO
1.0
4.942 0.000 0.000
0.000 5.720 0.000
0.000 0.000 7.762
Ho O N Zn
4 4 4 4
direct
0.034 0.546 0.853
0.534 0.954 0.853
0.034 0.046 0.147
0.534 0.454 0.147
0.603 0.599 0.405
0.603 0.099 0.595
0.103 0.401 0.595
0.103 0.901 0.405
0.551 0.559 0.862
0.051 0.941 0.862
0.051 0.441 0.138
0.551 0.059 0.138
0.014 0.061 0.621
0.514 0.439 0.621
0.514 0.939 0.379
0.014 0.561 0.379
```

Summary:
- E above lowest polymorph (eV/f.u.) = 0.17
- DFT total energy (eV per atom) = -6.3643
- size of the total moment (μB per formula unit) = 0.00
- space group = Pca2_1